[1]
Crystalline GaSnSb3 at its relaxed geometry. Source: Alexandria via LeMat-Bulk, functional PBE.

Lattice parameters (Å, degrees): 5.3348 5.3348 5.3348 90.00 90.00 90.00
Sites, in units of the cell vectors:
1 Sb 0.0000 0.5000 0.0000
2 Sb 0.0000 0.0000 0.5000
3 Sb 0.5000 0.0000 0.0000
4 Sn 0.5000 0.5000 0.5000
5 Ga 0.0000 0.0000 0.0000

Calculated density   6.06 g/cm³
Energy relative to the elements, uncorrected   0.491 eV per atom

***

[2]
Crystalline CoGe at its relaxed geometry. Source: Alexandria via LeMat-Bulk, functional PBE.

Lattice parameters (Å, degrees): 2.9297 2.9297 2.9297 90.00 90.00 90.00
Site moments in Bohr magnetons follow the coordinates.
Sites, in units of the cell vectors:
1 Ge 0.5000 0.5000 0.5000  0.04
2 Co 0.0000 0.0000 0.0000  0.85

ΔH_f (0 K)   -0.031 eV per atom
Calculated density   8.69 g/cm³

***

[3]
Crystalline Er5Zn4Ga at its relaxed geometry. Source: Alexandria via LeMat-Bulk, functional PBE.

Lattice parameters (Å, degrees): 3.5372 3.5372 17.6994 90.00 90.00 90.00
Sites, in units of the cell vectors:
1 Er 0.5000 0.5000 0.1011
2 Er 0.5000 0.5000 0.3004
3 Er 0.5000 0.5000 0.5000
4 Er 0.5000 0.5000 0.6996
5 Er 0.5000 0.5000 0.8989
6 Zn 0.0000 0.0000 0.2021
7 Zn 0.0000 0.0000 0.3997
8 Zn 0.0000 0.0000 0.6003
9 Zn 0.0000 0.0000 0.7979
10 Ga 0.0000 0.0000 0.0000

ΔH_f (0 K)   -0.398 eV per atom
Calculated density   8.76 g/cm³